Entry 1:
! Cd2Te, optimized geometry, DFT PBE-GGA; values from VASP
! - Total magnetization: 0.00 μB/f.u.
! - Formation energy (no corrections): -0.04 eV per atom
! - Energy above the most stable polymorph in this dataset: 137 meV/atom
! - V: 160 Å³/cell
&SYSTEM
  ibrav = 0, nat = 6, ntyp = 2
/
ATOMIC_SPECIES
Cd 112.41 Cd.upf
Te 127.60 Te.upf
CELL_PARAMETERS angstrom
-5.054 -1.782 0.086
3.017 -0.285 4.420
-2.031 5.845 1.763
ATOMIC_POSITIONS crystal
Cd 0.667 0.333 0.750
Cd 0.333 0.667 0.250
Cd 0.000 0.000 0.000
Cd 0.000 0.000 0.500
Te 0.667 0.333 0.250
Te 0.333 0.667 0.750


Entry 2:
! Cd2Te, optimized geometry, DFT PBE-GGA; values from VASP
! - Total magnetization: 0.00 μB/f.u.
! - Formation energy (no corrections): -0.05 eV per atom
! - Energy above the most stable polymorph in this dataset: 127 meV/atom
! - V: 180 Å³/cell
&SYSTEM
  ibrav = 0, nat = 6, ntyp = 2
/
ATOMIC_SPECIES
Cd 112.41 Cd.upf
Te 127.60 Te.upf
CELL_PARAMETERS angstrom
4.618 -0.632 9.597
-7.301 2.748 -7.279
-2.095 -3.508 0.777
ATOMIC_POSITIONS crystal
Cd 0.608 0.392 0.250
Te 0.090 0.910 0.750
Te 0.910 0.090 0.250
Cd 0.392 0.608 0.750
Cd 0.725 0.275 0.750
Cd 0.275 0.725 0.250


Entry 3:
! Cd2Te, optimized geometry, DFT PBE-GGA; values from VASP
! - Total magnetization: 0.00 μB/f.u.
! - Formation energy (no corrections): -0.06 eV per atom
! - Energy above the most stable polymorph in this dataset: 110 meV/atom
! - V: 178 Å³/cell
&SYSTEM
  ibrav = 0, nat = 6, ntyp = 2
/
ATOMIC_SPECIES
Te 127.60 Te.upf
Cd 112.41 Cd.upf
CELL_PARAMETERS angstrom
2.179 -3.774 0.000
2.179 3.774 0.000
0.000 0.000 10.813
ATOMIC_POSITIONS crystal
Te 0.333 0.667 0.750
Te 0.667 0.333 0.250
Cd 0.333 0.667 0.416
Cd 0.667 0.333 0.916
Cd 0.667 0.333 0.584
Cd 0.333 0.667 0.084


Entry 4:
! Cd3Te, optimized geometry, DFT PBE-GGA; values from VASP
! - Total magnetization: 0.00 μB/f.u.
! - Formation energy (no corrections): 0.03 eV per atom
! - Energy above the most stable polymorph in this dataset: 134 meV/atom
! - V: 211 Å³/cell
&SYSTEM
  ibrav = 0, nat = 8, ntyp = 2
/
ATOMIC_SPECIES
Cd 112.41 Cd.upf
Te 127.60 Te.upf
CELL_PARAMETERS angstrom
3.807 -4.963 0.000
3.807 4.963 0.000
0.000 0.000 5.597
ATOMIC_POSITIONS crystal
Cd 0.380 0.015 0.250
Cd 0.015 0.380 0.750
Cd 0.620 0.985 0.750
Te 0.475 0.525 0.250
Cd 0.892 0.108 0.250
Cd 0.985 0.620 0.250
Cd 0.108 0.892 0.750
Te 0.525 0.475 0.750


Entry 5:
! CdTe5, optimized geometry, DFT PBE-GGA; values from VASP
! - Total magnetization: 0.00 μB/f.u.
! - Formation energy (no corrections): 0.07 eV per atom
! - Energy above the most stable polymorph in this dataset: 120 meV/atom
! - V: 191 Å³/cell
&SYSTEM
  ibrav = 0, nat = 6, ntyp = 2
/
ATOMIC_SPECIES
Te 127.60 Te.upf
Cd 112.41 Cd.upf
CELL_PARAMETERS angstrom
3.508 1.045 4.806
-4.747 -3.730 0.229
3.646 -4.741 -1.630
ATOMIC_POSITIONS crystal
Te 0.001 0.999 0.500
Te 0.423 0.577 0.500
Te 0.702 0.298 0.000
Te 0.399 0.601 0.000
Cd 0.099 0.901 0.000
Te 0.711 0.289 0.500


Entry 6:
! Cd2Te, optimized geometry, DFT PBE-GGA; values from VASP
! - Total magnetization: 0.00 μB/f.u.
! - Formation energy (no corrections): 0.00 eV per atom
! - Energy above the most stable polymorph in this dataset: 177 meV/atom
! - V: 81 Å³/cell
&SYSTEM
  ibrav = 0, nat = 3, ntyp = 2
/
ATOMIC_SPECIES
Cd 112.41 Cd.upf
Te 127.60 Te.upf
CELL_PARAMETERS angstrom
5.479 -0.057 0.000
2.317 4.965 0.000
-3.898 -2.454 2.968
ATOMIC_POSITIONS crystal
Cd 0.336 0.336 0.000
Cd 0.664 0.664 0.000
Te 0.000 0.000 0.000


Entry 7:
! Cd2Te, optimized geometry, DFT PBE-GGA; values from VASP
! - Total magnetization: 0.00 μB/f.u.
! - Formation energy (no corrections): -0.10 eV per atom
! - Energy above the most stable polymorph in this dataset: 76 meV/atom
! - V: 167 Å³/cell
&SYSTEM
  ibrav = 0, nat = 6, ntyp = 2
/
ATOMIC_SPECIES
Cd 112.41 Cd.upf
Te 127.60 Te.upf
CELL_PARAMETERS angstrom
-3.120 3.120 4.300
3.120 -3.120 4.300
3.120 3.120 -4.300
ATOMIC_POSITIONS crystal
Cd 0.163 0.663 0.826
Te 0.750 0.750 0.000
Cd 0.663 0.837 0.500
Cd 0.337 0.163 0.500
Cd 0.837 0.337 0.174
Te 0.250 0.250 0.000


Entry 8:
! Cd2Te, optimized geometry, DFT PBE-GGA; values from VASP
! - Total magnetization: 0.00 μB/f.u.
! - Formation energy (no corrections): -0.17 eV per atom
! - Energy above the most stable polymorph in this dataset: 0 meV/atom
! - V: 102 Å³/cell
&SYSTEM
  ibrav = 0, nat = 3, ntyp = 2
/
ATOMIC_SPECIES
Cd 112.41 Cd.upf
Te 127.60 Te.upf
CELL_PARAMETERS angstrom
4.402 0.000 0.000
-2.201 3.812 0.000
0.000 0.000 6.067
ATOMIC_POSITIONS crystal
Cd 0.000 0.000 0.777
Te 0.333 0.667 0.500
Cd 0.000 0.000 0.223


Entry 9:
! Cd2Te, optimized geometry, DFT PBE-GGA; values from VASP
! - Total magnetization: 0.00 μB/f.u.
! - Formation energy (no corrections): 0.13 eV per atom
! - Energy above the most stable polymorph in this dataset: 307 meV/atom
! - V: 79 Å³/cell
&SYSTEM
  ibrav = 0, nat = 3, ntyp = 2
/
ATOMIC_SPECIES
Te 127.60 Te.upf
Cd 112.41 Cd.upf
CELL_PARAMETERS angstrom
-1.220 -2.783 -1.045
1.628 1.899 -2.017
7.501 -4.110 2.185
ATOMIC_POSITIONS crystal
Te 0.000 0.000 0.000
Cd 0.667 0.333 0.350
Cd 0.333 0.667 0.650


Entry 10:
! Cd4Te, optimized geometry, DFT PBE-GGA; values from VASP
! - Total magnetization: 0.00 μB/f.u.
! - Formation energy (no corrections): 0.33 eV per atom
! - Energy above the most stable polymorph in this dataset: 299 meV/atom
! - V: 168 Å³/cell
&SYSTEM
  ibrav = 0, nat = 5, ntyp = 2
/
ATOMIC_SPECIES
Cd 112.41 Cd.upf
Te 127.60 Te.upf
CELL_PARAMETERS angstrom
-3.477 3.477 3.477
3.477 -3.477 3.477
3.477 3.477 -3.477
ATOMIC_POSITIONS crystal
Cd 0.500 0.500 0.500
Te 0.000 0.000 0.000
Cd 0.000 0.500 0.000
Cd 0.000 0.000 0.500
Cd 0.500 0.000 0.000


Entry 11:
! Cd2Te, optimized geometry, DFT PBE-GGA; values from VASP
! - Total magnetization: 0.00 μB/f.u.
! - Formation energy (no corrections): -0.12 eV per atom
! - Energy above the most stable polymorph in this dataset: 49 meV/atom
! - V: 179 Å³/cell
&SYSTEM
  ibrav = 0, nat = 6, ntyp = 2
/
ATOMIC_SPECIES
Te 127.60 Te.upf
Cd 112.41 Cd.upf
CELL_PARAMETERS angstrom
2.185 7.145 0.057
-2.185 7.145 0.057
0.000 2.565 5.759
ATOMIC_POSITIONS crystal
Te 0.187 0.187 0.937
Te 0.975 0.975 0.607
Cd 0.620 0.620 0.399
Cd 0.966 0.966 0.086
Cd 0.313 0.313 0.214
Cd 0.773 0.773 0.590


Entry 12:
! Cd3Te, optimized geometry, DFT PBE-GGA; values from VASP
! - Total magnetization: 0.00 μB/f.u.
! - Formation energy (no corrections): 0.07 eV per atom
! - Energy above the most stable polymorph in this dataset: 169 meV/atom
! - V: 103 Å³/cell
&SYSTEM
  ibrav = 0, nat = 4, ntyp = 2
/
ATOMIC_SPECIES
Cd 112.41 Cd.upf
Te 127.60 Te.upf
CELL_PARAMETERS angstrom
-2.700 1.880 0.943
-0.971 -1.479 -2.929
-3.307 -7.097 4.679
ATOMIC_POSITIONS crystal
Cd 0.000 0.000 0.987
Cd 0.500 0.500 0.750
Te 0.500 0.500 0.250
Cd 0.000 0.000 0.513